No. 1
This record from the Alexandria database describes a relaxed SrCaYTl crystal. The functional is PBE.

a = 5.756 Å, b = 5.756 Å, c = 5.756 Å
α = 60.00°, β = 60.00°, γ = 60.00°
Fractional positions:
Sr 0.000 0.000 0.000
Ca 0.250 0.250 0.250
Y 0.500 0.500 0.500
Tl 0.750 0.750 0.750

SG   F-43m
Final energy   -12.8 eV for the cell shown

=====

No. 2
This record from the Alexandria database describes a relaxed SrCaY2Tl crystal. The functional is PBE.

a = 5.921 Å, b = 5.921 Å, c = 5.968 Å
α = 90.00°, β = 90.00°, γ = 90.00°
Fractional positions:
Sr 0.000 0.000 0.000
Ca 0.500 0.500 0.000
Y 0.000 0.500 0.500
Y 0.500 0.000 0.500
Tl 0.500 0.500 0.500

SG   P4/mmm
Final energy   -18.2 eV for the cell shown

=====

No. 3
This record from the Alexandria database describes a relaxed SrCa2Tl2Zn2 crystal. The functional is PBE.

a = 10.387 Å, b = 10.387 Å, c = 10.387 Å
α = 27.03°, β = 27.03°, γ = 27.03°
Fractional positions:
Sr 0.000 0.000 0.000
Ca 0.128 0.128 0.128
Ca 0.872 0.872 0.872
Tl 0.255 0.255 0.255
Tl 0.745 0.745 0.745
Zn 0.407 0.407 0.407
Zn 0.593 0.593 0.593

SG   R-3m
Final energy   -14.8 eV for the cell shown

=====

No. 4
This record from the Alexandria database describes a relaxed SrCaTlZn crystal. The functional is PBE.

a = 3.875 Å, b = 3.875 Å, c = 7.917 Å
α = 90.00°, β = 90.00°, γ = 90.00°
Fractional positions:
Sr 0.000 0.000 0.000
Ca 0.000 0.000 0.472
Tl 0.500 0.500 0.719
Zn 0.500 0.500 0.257

Energy relative to the lowest polymorph listed for this composition   0.000 eV/f.u.
SG   P4mm
Final energy   -8.6 eV for the cell shown

=====

No. 5
This record from the Alexandria database describes a relaxed SrCaTlZn crystal. The functional is PBE.

a = 5.525 Å, b = 5.525 Å, c = 5.525 Å
α = 60.00°, β = 60.00°, γ = 60.00°
Fractional positions:
Sr 0.000 0.000 0.000
Ca 0.500 0.500 0.500
Tl 0.250 0.250 0.250
Zn 0.750 0.750 0.750

Energy relative to the lowest polymorph listed for this composition   0.041 eV/f.u.
SG   F-43m
Final energy   -8.6 eV for the cell shown

=====

No. 6
This record from the Alexandria database describes a relaxed SrCa2Tm crystal. The functional is PBE.

a = 6.150 Å, b = 6.150 Å, c = 4.206 Å
α = 90.00°, β = 90.00°, γ = 90.00°
Fractional positions:
Sr 0.000 0.000 0.000
Ca 0.000 0.500 0.500
Ca 0.500 0.000 0.500
Tm 0.500 0.500 0.000

Energy relative to the lowest polymorph listed for this composition   0.229 eV/f.u.
SG   P4/mmm
Final energy   -9.4 eV for the cell shown

=====

No. 7
This record from the Alexandria database describes a relaxed Sr2CaTm crystal. The functional is PBE.

a = 6.213 Å, b = 6.213 Å, c = 6.213 Å
α = 60.00°, β = 60.00°, γ = 60.00°
Fractional positions:
Sr 0.250 0.250 0.250
Sr 0.750 0.750 0.750
Ca 0.000 0.000 0.000
Tm 0.500 0.500 0.500

Energy relative to the lowest polymorph listed for this composition   0.099 eV/f.u.
SG   Fm-3m
Final energy   -9.1 eV for the cell shown

=====

No. 8
This record from the Alexandria database describes a relaxed Sr2CaTm crystal. The functional is PBE.

a = 13.957 Å, b = 13.957 Å, c = 13.957 Å
α = 15.75°, β = 15.75°, γ = 15.75°
Fractional positions:
Sr 0.085 0.085 0.085
Sr 0.915 0.915 0.915
Ca 0.500 0.500 0.500
Tm 0.000 0.000 0.000

Energy relative to the lowest polymorph listed for this composition   0.615 eV/f.u.
SG   R-3m
Final energy   -8.5 eV for the cell shown

=====

No. 9
This record from the Alexandria database describes a relaxed SrCa2Tm crystal. The functional is PBE.

a = 6.086 Å, b = 6.086 Å, c = 6.086 Å
α = 60.00°, β = 60.00°, γ = 60.00°
Fractional positions:
Sr 0.000 0.000 0.000
Ca 0.250 0.250 0.250
Ca 0.750 0.750 0.750
Tm 0.500 0.500 0.500

Energy relative to the lowest polymorph listed for this composition   0.228 eV/f.u.
SG   Fm-3m
Final energy   -9.4 eV for the cell shown

=====

No. 10
This record from the Alexandria database describes a relaxed SrCaTm crystal. The functional is PBE.

a = 5.099 Å, b = 5.099 Å, c = 9.730 Å
α = 90.00°, β = 90.00°, γ = 90.00°
Fractional positions:
Sr 0.250 0.750 0.000
Sr 0.750 0.250 0.000
Ca 0.250 0.250 0.343
Ca 0.750 0.750 0.657
Tm 0.250 0.250 0.706
Tm 0.750 0.750 0.294

Energy relative to the lowest polymorph listed for this composition   0.758 eV/f.u.
SG   P4/nmm
Final energy   -13.7 eV for the cell shown

=====

No. 11
This record from the Alexandria database describes a relaxed SrCa2Tm crystal. The functional is PBE.

a = 12.924 Å, b = 12.924 Å, c = 12.924 Å
α = 17.10°, β = 17.10°, γ = 17.10°
Fractional positions:
Sr 0.000 0.000 0.000
Ca 0.578 0.578 0.578
Ca 0.756 0.756 0.756
Tm 0.167 0.167 0.167

Energy relative to the lowest polymorph listed for this composition   0.058 eV/f.u.
SG   R3m
Final energy   -9.6 eV for the cell shown

=====

No. 12
This record from the Alexandria database describes a relaxed SrCa2Tm crystal. The functional is PBE.

a = 3.999 Å, b = 3.999 Å, c = 10.182 Å
α = 90.00°, β = 90.00°, γ = 90.00°
Fractional positions:
Sr 0.000 0.000 0.000
Ca 0.500 0.500 0.283
Ca 0.500 0.500 0.717
Tm 0.000 0.000 0.500

Energy relative to the lowest polymorph listed for this composition   0.000 eV/f.u.
SG   P4/mmm
Final energy   -9.7 eV for the cell shown

=====

No. 13
This record from the Alexandria database describes a relaxed SrCaTm crystal. The functional is PBE.

a = 8.698 Å, b = 8.698 Å, c = 8.698 Å
α = 154.50°, β = 154.50°, γ = 36.37°
Fractional positions:
Sr 0.000 0.000 0.000
Ca 0.313 0.313 0.000
Tm 0.664 0.664 0.000

Energy relative to the lowest polymorph listed for this composition   0.000 eV/f.u.
SG   I4mm
Final energy   -7.6 eV for the cell shown

=====

No. 14
This record from the Alexandria database describes a relaxed SrCa2Tm crystal. The functional is PBE.

a = 12.916 Å, b = 12.916 Å, c = 12.916 Å
α = 17.13°, β = 17.13°, γ = 17.13°
Fractional positions:
Sr 0.000 0.000 0.000
Ca 0.244 0.244 0.244
Ca 0.756 0.756 0.756
Tm 0.500 0.500 0.500

Energy relative to the lowest polymorph listed for this composition   0.051 eV/f.u.
SG   R-3m
Final energy   -9.6 eV for the cell shown

=====

No. 15
This record from the Alexandria database describes a relaxed SrCaTm crystal. The functional is PBE.

a = 3.825 Å, b = 3.825 Å, c = 9.518 Å
α = 90.00°, β = 90.00°, γ = 120.00°
Fractional positions:
Sr 0.000 0.000 0.000
Ca 0.333 0.667 0.637
Tm 0.667 0.333 0.330

Energy relative to the lowest polymorph listed for this composition   0.007 eV/f.u.
SG   P3m1
Final energy   -7.6 eV for the cell shown

=====

No. 16
This record from the Alexandria database describes a relaxed Sr2CaTm crystal. The functional is PBE.

a = 13.220 Å, b = 13.220 Å, c = 13.220 Å
α = 17.06°, β = 17.06°, γ = 17.06°
Fractional positions:
Sr 0.000 0.000 0.000
Sr 0.176 0.176 0.176
Ca 0.421 0.421 0.421
Tm 0.588 0.588 0.588

Energy relative to the lowest polymorph listed for this composition   0.000 eV/f.u.
SG   R3m
Final energy   -9.2 eV for the cell shown

=====

No. 17
This record from the Alexandria database describes a relaxed SrCaTm4 crystal. The functional is PBE.

a = 6.763 Å, b = 6.763 Å, c = 6.763 Å
α = 60.00°, β = 60.00°, γ = 60.00°
Fractional positions:
Sr 0.000 0.000 0.000
Ca 0.750 0.750 0.750
Tm 0.376 0.376 0.376
Tm 0.376 0.376 0.872
Tm 0.376 0.872 0.376
Tm 0.872 0.376 0.376

SG   F-43m
Final energy   -20.2 eV for the cell shown

=====

No. 18
This record from the Alexandria database describes a relaxed Sr2CaTm crystal. The functional is PBE.

a = 4.130 Å, b = 4.130 Å, c = 10.155 Å
α = 90.00°, β = 90.00°, γ = 90.00°
Fractional positions:
Sr 0.000 0.000 0.229
Sr 0.000 0.000 0.771
Ca 0.500 0.500 0.500
Tm 0.500 0.500 0.000

Energy relative to the lowest polymorph listed for this composition   0.007 eV/f.u.
SG   P4/mmm
Final energy   -9.1 eV for the cell shown

=====

No. 19
This record from the Alexandria database describes a relaxed Sr2CaV crystal. The functional is PBE.

a = 7.693 Å, b = 7.693 Å, c = 7.693 Å
α = 102.44°, β = 102.44°, γ = 124.69°
Fractional positions:
Sr 0.073 0.125 0.448
Sr 0.375 0.927 0.052
Sr 0.677 0.625 0.552
Sr 0.875 0.323 0.948
Ca 0.250 0.750 0.500
Ca 0.500 0.500 0.000
V 0.000 0.000 0.000
V 0.750 0.250 0.500

Energy relative to the lowest polymorph listed for this composition   0.576 eV/f.u.
SG   I-42d
Final energy   -23.3 eV for the cell shown

=====

No. 20
This record from the Alexandria database describes a relaxed Sr2CaV crystal. The functional is PBE.

a = 6.005 Å, b = 6.005 Å, c = 6.005 Å
α = 60.00°, β = 60.00°, γ = 60.00°
Fractional positions:
Sr 0.250 0.250 0.250
Sr 0.750 0.750 0.750
Ca 0.000 0.000 0.000
V 0.500 0.500 0.500

Energy relative to the lowest polymorph listed for this composition   0.000 eV/f.u.
SG   Fm-3m
Final energy   -12.2 eV for the cell shown

=====

No. 21
This record from the Alexandria database describes a relaxed SrCa3V crystal. The functional is PBE.

a = 5.969 Å, b = 5.969 Å, c = 5.969 Å
α = 90.00°, β = 90.00°, γ = 90.00°
Fractional positions:
Sr 0.000 0.000 0.000
Ca 0.000 0.500 0.500
Ca 0.500 0.000 0.500
Ca 0.500 0.500 0.000
V 0.500 0.500 0.500

Energy relative to the lowest polymorph listed for this composition   0.000 eV/f.u.
SG   Pm-3m
Final energy   -14.4 eV for the cell shown

=====

No. 22
This record from the Alexandria database describes a relaxed SrCaV2 crystal. The functional is PBE.

a = 6.797 Å, b = 6.797 Å, c = 6.797 Å
α = 102.17°, β = 102.17°, γ = 125.35°
Fractional positions:
Sr 0.000 0.000 0.000
Sr 0.750 0.250 0.500
Ca 0.250 0.750 0.500
Ca 0.500 0.500 0.000
V 0.134 0.625 0.009
V 0.375 0.384 0.509
V 0.616 0.125 0.991
V 0.875 0.866 0.491

Energy relative to the lowest polymorph listed for this composition   1.173 eV/f.u.
SG   I-42d
Final energy   -33.7 eV for the cell shown

=====

No. 23
This record from the Alexandria database describes a relaxed SrCaV2 crystal. The functional is PBE.

a = 5.493 Å, b = 5.493 Å, c = 5.493 Å
α = 60.00°, β = 60.00°, γ = 60.00°
Fractional positions:
Sr 0.000 0.000 0.000
Ca 0.500 0.500 0.500
V 0.250 0.250 0.250
V 0.750 0.750 0.750

Energy relative to the lowest polymorph listed for this composition   0.000 eV/f.u.
SG   Fm-3m
Final energy   -18.0 eV for the cell shown

=====

No. 24
This record from the Alexandria database describes a relaxed SrCa3V crystal. The functional is PBE.

a = 5.996 Å, b = 5.996 Å, c = 5.996 Å
α = 90.00°, β = 90.00°, γ = 90.00°
Fractional positions:
Sr 0.000 0.000 0.000
Ca 0.000 0.000 0.500
Ca 0.000 0.500 0.000
Ca 0.500 0.000 0.000
V 0.500 0.500 0.500

Energy relative to the lowest polymorph listed for this composition   5.038 eV/f.u.
SG   Pm-3m
Final energy   -9.4 eV for the cell shown

=====

No. 25
This record from the Alexandria database describes a relaxed SrCaVW2 crystal. The functional is PBE.

a = 4.675 Å, b = 4.675 Å, c = 5.609 Å
α = 90.00°, β = 90.00°, γ = 90.00°
Fractional positions:
Sr 0.000 0.000 0.000
Ca 0.500 0.500 0.000
V 0.000 0.000 0.500
W 0.000 0.500 0.500
W 0.500 0.000 0.500

SG   P4/mmm
Final energy   -32.2 eV for the cell shown

=====

No. 26
This record from the Alexandria database describes a relaxed SrCaW2 crystal. The functional is PBE.

a = 10.647 Å, b = 10.647 Å, c = 10.647 Å
α = 18.74°, β = 18.74°, γ = 18.74°
Fractional positions:
Sr 0.000 0.000 0.000
Ca 0.781 0.781 0.781
W 0.246 0.246 0.246
W 0.530 0.530 0.530

Energy relative to the lowest polymorph listed for this composition   1.155 eV/f.u.
SG   R3m
Final energy   -26.1 eV for the cell shown

=====

No. 27
This record from the Alexandria database describes a relaxed SrCa2W2 crystal. The functional is PBE.

a = 12.455 Å, b = 12.455 Å, c = 12.455 Å
α = 163.02°, β = 163.02°, γ = 24.10°
Fractional positions:
Sr 0.000 0.000 0.000
Ca 0.360 0.360 0.000
Ca 0.640 0.640 0.000
W 0.250 0.750 0.500
W 0.750 0.250 0.500

Energy relative to the lowest polymorph listed for this composition   0.000 eV/f.u.
SG   I4/mmm
Final energy   -28.2 eV for the cell shown

=====

No. 28
This record from the Alexandria database describes a relaxed SrCaW2 crystal. The functional is PBE.

a = 6.236 Å, b = 6.236 Å, c = 6.236 Å
α = 147.19°, β = 126.70°, γ = 64.02°
Fractional positions:
Sr 0.000 0.000 0.000
Ca 0.711 0.211 0.500
W 0.276 0.776 0.500
W 0.434 0.434 0.000

Energy relative to the lowest polymorph listed for this composition   1.057 eV/f.u.
SG   Imm2
Final energy   -26.2 eV for the cell shown

=====

No. 29
This record from the Alexandria database describes a relaxed SrCaW3 crystal. The functional is PBE.

a = 4.896 Å, b = 4.896 Å, c = 4.896 Å
α = 90.00°, β = 90.00°, γ = 90.00°
Fractional positions:
Sr 0.000 0.000 0.000
Ca 0.500 0.500 0.500
W 0.000 0.500 0.500
W 0.500 0.000 0.500
W 0.500 0.500 0.000

Energy relative to the lowest polymorph listed for this composition   0.000 eV/f.u.
SG   Pm-3m
Final energy   -28.1 eV for the cell shown

=====

No. 30
This record from the Alexandria database describes a relaxed SrCaW2 crystal. The functional is PBE.

a = 6.083 Å, b = 6.083 Å, c = 6.083 Å
α = 142.83°, β = 140.00°, γ = 55.75°
Fractional positions:
Sr 0.000 0.000 0.000
Ca 0.500 0.500 0.000
W 0.251 0.751 0.500
W 0.749 0.249 0.500

Energy relative to the lowest polymorph listed for this composition   2.448 eV/f.u.
SG   Immm
Final energy   -24.8 eV for the cell shown